## 1
The following is a DFT calculation (PBE) of a geometry-optimized Rb2Ag3Cl8 structure.

a = 5.0569 Å, b = 5.0569 Å, c = 14.9638 Å
α = 90.00°, β = 90.00°, γ = 90.00°
Fractional coordinates of all 13 atoms:
Rb  0.0000  0.0000  0.1880
Rb  0.0000  0.0000  0.8120
Ag  0.5000  0.5000  0.0000
Ag  0.5000  0.5000  0.3496
Ag  0.5000  0.5000  0.6504
Cl  0.0000  0.5000  0.0000
Cl  0.0000  0.5000  0.3485
Cl  0.0000  0.5000  0.6515
Cl  0.5000  0.0000  0.0000
Cl  0.5000  0.0000  0.3485
Cl  0.5000  0.0000  0.6515
Cl  0.5000  0.5000  0.1650
Cl  0.5000  0.5000  0.8350



## 2
The following is a DFT calculation (PBE) of a geometry-optimized Rb2Ag3Cl8 structure.

a = 8.8725 Å, b = 8.8725 Å, c = 6.6778 Å
α = 108.05°, β = 108.05°, γ = 56.93°
Fractional coordinates of all 13 atoms:
Rb  0.2283  0.2283  0.1616
Rb  0.7717  0.7717  0.8384
Ag  0.2316  0.7684  0.5000
Ag  0.5000  0.5000  0.0000
Ag  0.7684  0.2316  0.5000
Cl  0.1150  0.1150  0.4876
Cl  0.1811  0.6321  0.1242
Cl  0.3679  0.8189  0.8758
Cl  0.4038  0.4038  0.6242
Cl  0.5962  0.5962  0.3758
Cl  0.6321  0.1811  0.1242
Cl  0.8189  0.3679  0.8758
Cl  0.8850  0.8850  0.5124



Most stable: 1. Least stable: 2.